# PrH2Br | Alexandria via LeMat-Bulk | PBE-GGA | optimized geometry
# - energy (eV per atom) = -3.607
# - offset from the most stable computed form (meV/atom) = 744
data_PrH2Br
_chemical_formula_sum 'Pr1 H2 Br1'
_symmetry_space_group_name_H-M 'P 4/m m m'
_symmetry_Int_Tables_number 123
_symmetry_space_group_name_Hall '-P 4 2'
_cell_length_a 3.312
_cell_length_b 3.312
_cell_length_c 6.089
_cell_angle_alpha 90.00
_cell_angle_beta 90.00
_cell_angle_gamma 90.00
loop_
_atom_site_label
_atom_site_type_symbol
_atom_site_fract_x
_atom_site_fract_y
_atom_site_fract_z
Pr1 Pr 0.000 0.000 0.000
H1 H 0.500 0.500 0.162
Br1 Br 0.000 0.000 0.500

---

# PrHBr4 | Alexandria via LeMat-Bulk | PBE-GGA | optimized geometry
# - energy (eV per atom) = -3.769
# - offset from the most stable computed form (meV/atom) = 0
data_PrHBr4
_chemical_formula_sum 'Pr2 H2 Br8'
_symmetry_space_group_name_H-M 'P 1 21/m 1'
_symmetry_Int_Tables_number 11
_symmetry_space_group_name_Hall '-P 2yb'
_cell_length_a 5.821
_cell_length_b 9.072
_cell_length_c 8.478
_cell_angle_alpha 90.00
_cell_angle_beta 104.79
_cell_angle_gamma 90.00
loop_
_atom_site_label
_atom_site_type_symbol
_atom_site_fract_x
_atom_site_fract_y
_atom_site_fract_z
Pr1 Pr 0.038 0.250 0.082
H1 H 0.116 0.250 0.568
Br1 Br 0.058 0.558 0.210
Br2 Br 0.305 0.250 0.486
Br3 Br 0.445 0.750 0.868

---

# Pr2HBr5 | Alexandria via LeMat-Bulk | PBE-GGA | optimized geometry
# - energy (eV per atom) = -4.064
data_Pr2HBr5
_chemical_formula_sum 'Pr8 H4 Br20'
_symmetry_space_group_name_H-M 'C m c m'
_symmetry_Int_Tables_number 63
_symmetry_space_group_name_Hall '-C 2c 2'
_cell_length_a 3.747
_cell_length_b 14.563
_cell_length_c 20.461
_cell_angle_alpha 90.00
_cell_angle_beta 90.00
_cell_angle_gamma 90.00
loop_
_atom_site_label
_atom_site_type_symbol
_atom_site_fract_x
_atom_site_fract_y
_atom_site_fract_z
Pr1 Pr 0.000 0.244 0.157
H1 H 0.000 0.207 0.750
Br1 Br 0.000 0.113 0.618
Br2 Br 0.000 0.354 0.573
Br3 Br 0.000 0.392 0.750

---

# PrHBr | Alexandria via LeMat-Bulk | PBE-GGA | optimized geometry
# - energy (eV per atom) = -4.505
data_PrHBr
_chemical_formula_sum 'Pr4 H4 Br4'
_symmetry_space_group_name_H-M 'C 1 2/m 1'
_symmetry_Int_Tables_number 12
_symmetry_space_group_name_Hall '-C 2y'
_cell_length_a 7.043
_cell_length_b 4.065
_cell_length_c 10.763
_cell_angle_alpha 90.00
_cell_angle_beta 93.09
_cell_angle_gamma 90.00
loop_
_atom_site_label
_atom_site_type_symbol
_atom_site_fract_x
_atom_site_fract_y
_atom_site_fract_z
Pr1 Pr 0.156 0.000 0.365
H1 H 0.173 0.000 0.583
Br1 Br 0.026 0.500 0.812

---

# Pr2HBr2 | Alexandria via LeMat-Bulk | PBE-GGA | optimized geometry
# - energy (eV per atom) = -4.345
data_Pr2HBr2
_chemical_formula_sum 'Pr8 H4 Br8'
_symmetry_space_group_name_H-M 'P 1 21/c 1'
_symmetry_Int_Tables_number 14
_symmetry_space_group_name_Hall '-P 2ybc'
_cell_length_a 10.662
_cell_length_b 7.810
_cell_length_c 6.441
_cell_angle_alpha 90.00
_cell_angle_beta 98.44
_cell_angle_gamma 90.00
loop_
_atom_site_label
_atom_site_type_symbol
_atom_site_fract_x
_atom_site_fract_y
_atom_site_fract_z
Pr1 Pr 0.035 0.137 0.243
Pr2 Pr 0.293 0.067 0.811
H1 H 0.087 0.088 0.618
Br1 Br 0.192 0.669 0.635
Br2 Br 0.462 0.138 0.226

---

# Pr6HPt2Br3 | Alexandria via LeMat-Bulk | PBE-GGA | optimized geometry
# - energy (eV per atom) = -5.104
data_Pr6HPt2Br3
_chemical_formula_sum 'Pr12 H2 Pt4 Br6'
_symmetry_space_group_name_H-M 'C 1 2/m 1'
_symmetry_Int_Tables_number 12
_symmetry_space_group_name_Hall '-C 2y'
_cell_length_a 7.326
_cell_length_b 12.138
_cell_length_c 8.033
_cell_angle_alpha 90.00
_cell_angle_beta 107.48
_cell_angle_gamma 90.00
loop_
_atom_site_label
_atom_site_type_symbol
_atom_site_fract_x
_atom_site_fract_y
_atom_site_fract_z
Pr1 Pr 0.221 0.164 0.194
Pr2 Pr 0.242 0.500 0.229
H1 H 0.000 0.000 0.000
Pt1 Pt 0.000 0.343 0.000
Br1 Br 0.000 0.177 0.500
Br2 Br 0.000 0.500 0.500

---

# Pr6HRh2Br3 | Alexandria via LeMat-Bulk | PBE-GGA | optimized geometry
# - energy (eV per atom) = -5.232
data_Pr6HRh2Br3
_chemical_formula_sum 'Pr12 H2 Rh4 Br6'
_symmetry_space_group_name_H-M 'C 1 2/m 1'
_symmetry_Int_Tables_number 12
_symmetry_space_group_name_Hall '-C 2y'
_cell_length_a 7.095
_cell_length_b 12.222
_cell_length_c 8.201
_cell_angle_alpha 90.00
_cell_angle_beta 106.85
_cell_angle_gamma 90.00
loop_
_atom_site_label
_atom_site_type_symbol
_atom_site_fract_x
_atom_site_fract_y
_atom_site_fract_z
Pr1 Pr 0.231 0.166 0.196
Pr2 Pr 0.233 0.500 0.197
H1 H 0.000 0.000 0.000
Rh1 Rh 0.000 0.334 0.000
Br1 Br 0.000 0.169 0.500
Br2 Br 0.000 0.500 0.500

---

# Pr4HRhBr2 | Alexandria via LeMat-Bulk | PBE-GGA | optimized geometry
# - energy (eV per atom) = -5.004
data_Pr4HRhBr2
_chemical_formula_sum 'Pr4 H1 Rh1 Br2'
_symmetry_space_group_name_H-M 'P 1 2/m 1'
_symmetry_Int_Tables_number 10
_symmetry_space_group_name_Hall '-P 2y'
_cell_length_a 6.869
_cell_length_b 4.011
_cell_length_c 8.113
_cell_angle_alpha 90.00
_cell_angle_beta 106.24
_cell_angle_gamma 90.00
loop_
_atom_site_label
_atom_site_type_symbol
_atom_site_fract_x
_atom_site_fract_y
_atom_site_fract_z
Pr1 Pr 0.228 0.000 0.200
Pr2 Pr 0.246 0.500 0.804
H1 H 0.000 0.500 0.000
Rh1 Rh 0.500 0.000 0.000
Br1 Br 0.000 0.000 0.500
Br2 Br 0.500 0.500 0.500

---

# Pr6HRu2Br3 | Alexandria via LeMat-Bulk | PBE-GGA | optimized geometry
# - energy (eV per atom) = -5.444
data_Pr6HRu2Br3
_chemical_formula_sum 'Pr12 H2 Ru4 Br6'
_symmetry_space_group_name_H-M 'C 1 2/m 1'
_symmetry_Int_Tables_number 12
_symmetry_space_group_name_Hall '-C 2y'
_cell_length_a 6.988
_cell_length_b 12.111
_cell_length_c 8.274
_cell_angle_alpha 90.00
_cell_angle_beta 106.47
_cell_angle_gamma 90.00
loop_
_atom_site_label
_atom_site_type_symbol
_atom_site_fract_x
_atom_site_fract_y
_atom_site_fract_z
Pr1 Pr 0.232 0.000 0.196
Pr2 Pr 0.232 0.333 0.196
H1 H 0.000 0.500 0.000
Ru1 Ru 0.000 0.166 0.000
Br1 Br 0.000 0.000 0.500
Br2 Br 0.000 0.329 0.500

---

# Pr8HRu3Br4 | Alexandria via LeMat-Bulk | PBE-GGA | optimized geometry
# - energy (eV per atom) = -5.545
data_Pr8HRu3Br4
_chemical_formula_sum 'Pr16 H2 Ru6 Br8'
_symmetry_space_group_name_H-M 'C 1 2/m 1'
_symmetry_Int_Tables_number 12
_symmetry_space_group_name_Hall '-C 2y'
_cell_length_a 14.043
_cell_length_b 8.085
_cell_length_c 9.241
_cell_angle_alpha 90.00
_cell_angle_beta 120.55
_cell_angle_gamma 90.00
loop_
_atom_site_label
_atom_site_type_symbol
_atom_site_fract_x
_atom_site_fract_y
_atom_site_fract_z
Pr1 Pr 0.018 0.250 0.305
Pr2 Pr 0.232 0.000 0.695
Pr3 Pr 0.235 0.500 0.704
H1 H 0.000 0.000 0.500
Ru1 Ru 0.000 0.500 0.500
Ru2 Ru 0.250 0.250 0.500
Br1 Br 0.000 0.000 0.000
Br2 Br 0.000 0.500 0.000
Br3 Br 0.250 0.250 0.000

---

# Pr4HRuBr2 | Alexandria via LeMat-Bulk | PBE-GGA | optimized geometry
# - energy (eV per atom) = -5.159
data_Pr4HRuBr2
_chemical_formula_sum 'Pr4 H1 Ru1 Br2'
_symmetry_space_group_name_H-M 'P 1 2/m 1'
_symmetry_Int_Tables_number 10
_symmetry_space_group_name_Hall '-P 2y'
_cell_length_a 6.791
_cell_length_b 4.008
_cell_length_c 8.213
_cell_angle_alpha 90.00
_cell_angle_beta 106.31
_cell_angle_gamma 90.00
loop_
_atom_site_label
_atom_site_type_symbol
_atom_site_fract_x
_atom_site_fract_y
_atom_site_fract_z
Pr1 Pr 0.228 0.000 0.197
Pr2 Pr 0.254 0.500 0.804
H1 H 0.000 0.500 0.000
Ru1 Ru 0.500 0.000 0.000
Br1 Br 0.000 0.000 0.500
Br2 Br 0.500 0.500 0.500

---

> The highest energy belongs to which entry?

PrH2Br